--- one ---
Density functional theory data (PBE) for a relaxed structure of Nd4Dy5Cd.

Lattice parameters (Å, degrees): 8.136 8.136 8.136 97.26 97.26 138.35
Atoms (fractional coordinates):
Nd: 0.000 0.317 0.317
Nd: 0.000 0.683 0.683
Nd: 0.317 0.000 0.317
Nd: 0.683 0.000 0.683
Dy: 0.188 0.188 0.000
Dy: 0.305 0.305 0.633
Dy: 0.305 0.672 0.000
Dy: 0.672 0.305 0.000
Dy: 0.672 0.672 0.367
Cd: 0.707 0.707 0.000

Space-group type: I4mm, No. 107
DOS at the Fermi energy: 13.0 states/eV/f.u.
Volume: 33.5 Å³ per atom

---

--- two ---
Density functional theory data (PBE) for a relaxed structure of Nd4Dy5Cd.

Lattice parameters (Å, degrees): 3.623 3.623 24.318 90.00 90.00 90.00
Atoms (fractional coordinates):
Nd: 0.000 0.000 0.104
Nd: 0.000 0.000 0.313
Nd: 0.000 0.000 0.687
Nd: 0.000 0.000 0.896
Dy: 0.500 0.500 0.000
Dy: 0.500 0.500 0.209
Dy: 0.500 0.500 0.417
Dy: 0.500 0.500 0.583
Dy: 0.500 0.500 0.791
Cd: 0.000 0.000 0.500

Space-group type: P4/mmm, No. 123
DOS at the Fermi energy: 13.0 states/eV/f.u.
Volume: 31.9 Å³ per atom

---

Which of them is least stable? Easy: one.

---

--- one ---
Density functional theory data (PBE) for a relaxed structure of PrNdDyCd.

Lattice parameters (Å, degrees): 5.579 5.579 5.579 60.00 60.00 60.00
Atoms (fractional coordinates):
Pr: 0.000 0.000 0.000
Nd: 0.500 0.500 0.500
Dy: 0.250 0.250 0.250
Cd: 0.750 0.750 0.750

Space-group type: F-43m, No. 216
DOS at the Fermi energy: 5.7 states/eV/f.u.
Volume: 30.7 Å³ per atom

---

--- two ---
Density functional theory data (PBE) for a relaxed structure of PrNdDyCd.

Lattice parameters (Å, degrees): 3.695 3.695 9.107 90.00 90.00 90.00
Atoms (fractional coordinates):
Pr: 0.000 0.000 0.000
Nd: 0.500 0.500 0.715
Dy: 0.500 0.500 0.273
Cd: 0.000 0.000 0.483

Space-group type: P4mm, No. 99
DOS at the Fermi energy: 4.3 states/eV/f.u.
Volume: 31.1 Å³ per atom

---

Which of them is least stable? Easy: one.

---

--- one ---
Density functional theory data (PBE) for a relaxed structure of NdDyCdRu.

Lattice parameters (Å, degrees): 5.116 5.116 5.116 60.00 60.00 60.00
Atoms (fractional coordinates):
Nd: 0.000 0.000 0.000
Dy: 0.500 0.500 0.500
Cd: 0.250 0.250 0.250
Ru: 0.750 0.750 0.750

Space-group type: F-43m, No. 216
DOS at the Fermi energy: 3.3 states/eV/f.u.
Volume: 23.7 Å³ per atom

---

--- two ---
Density functional theory data (PBE) for a relaxed structure of NdDyCdRu.

Lattice parameters (Å, degrees): 3.519 3.519 7.802 90.00 90.00 90.00
Atoms (fractional coordinates):
Nd: 0.000 0.000 0.000
Dy: 0.000 0.000 0.568
Cd: 0.500 0.500 0.298
Ru: 0.500 0.500 0.773

Space-group type: P4mm, No. 99
DOS at the Fermi energy: 3.8 states/eV/f.u.
Volume: 24.1 Å³ per atom

---

Which of them is least stable? Easy: one.

---

--- one ---
Density functional theory data (PBE) for a relaxed structure of NdSmDyCd.

Lattice parameters (Å, degrees): 3.661 3.661 9.085 90.00 90.00 90.00
Atoms (fractional coordinates):
Nd: 0.000 0.000 0.000
Sm: 0.500 0.500 0.719
Dy: 0.500 0.500 0.274
Cd: 0.000 0.000 0.489

Space-group type: P4mm, No. 99
DOS at the Fermi energy: 4.1 states/eV/f.u.
Volume: 30.4 Å³ per atom

---

--- two ---
Density functional theory data (PBE) for a relaxed structure of NdSmDyCd.

Lattice parameters (Å, degrees): 5.537 5.537 5.537 60.00 60.00 60.00
Atoms (fractional coordinates):
Nd: 0.000 0.000 0.000
Sm: 0.500 0.500 0.500
Dy: 0.250 0.250 0.250
Cd: 0.750 0.750 0.750

Space-group type: F-43m, No. 216
DOS at the Fermi energy: 5.6 states/eV/f.u.
Volume: 30.0 Å³ per atom

---

Which of them is least stable? Easy: two.

---

--- one ---
Density functional theory data (PBE) for a relaxed structure of TbNdDyCd.

Lattice parameters (Å, degrees): 3.640 3.640 9.038 90.00 90.00 90.00
Atoms (fractional coordinates):
Tb: 0.000 0.000 0.000
Nd: 0.500 0.500 0.279
Dy: 0.000 0.000 0.557
Cd: 0.500 0.500 0.777

Space-group type: P4mm, No. 99
DOS at the Fermi energy: 4.0 states/eV/f.u.
Volume: 29.9 Å³ per atom

---

--- two ---
Density functional theory data (PBE) for a relaxed structure of TbNdDyCd.

Lattice parameters (Å, degrees): 5.506 5.506 5.506 60.00 60.00 60.00
Atoms (fractional coordinates):
Tb: 0.000 0.000 0.000
Nd: 0.250 0.250 0.250
Dy: 0.750 0.750 0.750
Cd: 0.500 0.500 0.500

Space-group type: F-43m, No. 216
DOS at the Fermi energy: 5.4 states/eV/f.u.
Volume: 29.5 Å³ per atom

---

Which of them is least stable? Easy: two.

---

--- one ---
Density functional theory data (PBE) for a relaxed structure of NdDyThCd.

Lattice parameters (Å, degrees): 3.639 3.639 8.989 90.00 90.00 90.00
Atoms (fractional coordinates):
Nd: 0.000 0.000 0.000
Dy: 0.000 0.000 0.465
Th: 0.500 0.500 0.728
Cd: 0.500 0.500 0.244

Space-group type: P4mm, No. 99
DOS at the Fermi energy: 3.9 states/eV/f.u.
Volume: 29.8 Å³ per atom

---

--- two ---
Density functional theory data (PBE) for a relaxed structure of NdDyThCd.

Lattice parameters (Å, degrees): 5.524 5.524 5.524 60.00 60.00 60.00
Atoms (fractional coordinates):
Nd: 0.000 0.000 0.000
Dy: 0.500 0.500 0.500
Th: 0.250 0.250 0.250
Cd: 0.750 0.750 0.750

Space-group type: F-43m, No. 216
DOS at the Fermi energy: 6.4 states/eV/f.u.
Volume: 29.8 Å³ per atom

---

Which of them is least stable? Easy: two.